The following is a DFT calculation (SCAN) of Ga5Ag13 at its PBEsol-relaxed geometry.

Structure (extended XYZ):
```
18
Lattice="2.887 0.000 0.000 0.002 7.633 0.000 0.000 0.015 13.237" Properties=species:S:1:pos:R:3 pbc="T T T"
Ga 0.000 0.000 0.000
Ga 0.001 3.813 2.223
Ga 0.006 7.637 8.817
Ga 1.448 3.834 11.024
Ga 1.453 7.615 4.419
Ag 0.006 6.151 11.041
Ag 0.007 2.272 4.370
Ag 0.005 2.634 9.084
Ag 0.005 2.678 13.052
Ag 0.005 3.817 6.622
Ag 0.007 6.476 2.383
Ag 0.009 6.519 6.418
Ag 1.448 1.045 11.058
Ag 1.448 5.198 0.187
Ag 1.451 1.367 6.827
Ag 1.448 1.373 1.997
Ag 1.450 4.875 4.368
Ag 1.450 5.235 8.668
```

Values from the calculation:
* ΔH_f (0 K): -0.26 eV per formula unit

=====

The following is a DFT calculation (SCAN) of ScGaAgGe2 at its PBEsol-relaxed geometry.

Structure (extended XYZ):
```
5
Lattice="4.762 0.000 0.000 0.000 4.762 0.000 0.000 0.000 5.200" Properties=species:S:1:pos:R:3 pbc="T T T"
Sc 0.000 0.000 0.000
Ga 2.381 2.381 0.000
Ag 0.000 0.000 2.600
Ge 0.000 2.381 2.600
Ge 2.381 0.000 2.600
```

Values from the calculation:
* ΔH_f (0 K): 2.65 eV per formula unit

=====

The following is a DFT calculation (SCAN) of Ga2AgH at its PBEsol-relaxed geometry.

Structure (extended XYZ):
```
4
Lattice="0.000 3.083 3.083 3.083 0.000 3.083 3.083 3.083 0.000" Properties=species:S:1:pos:R:3 pbc="T T T"
Ga 1.542 1.542 1.542
Ga 4.625 4.625 4.625
Ag 0.000 0.000 0.000
H 3.083 3.083 3.083
```

Values from the calculation:
* total energy: -16.38 eV/atom

=====

The following is a DFT calculation (SCAN) of ScGaAgH2 at its PBEsol-relaxed geometry.

Structure (extended XYZ):
```
5
Lattice="3.705 0.000 0.000 0.000 3.705 0.000 0.000 0.000 5.678" Properties=species:S:1:pos:R:3 pbc="T T T"
Sc 0.000 0.000 0.000
Ga 0.000 0.000 2.839
Ag 1.853 1.853 2.839
H 0.000 1.853 0.000
H 1.853 0.000 0.000
```

Values from the calculation:
* total energy: -13.74 eV/atom

=====

The following is a DFT calculation (SCAN) of HfGa2Ag2 at its PBEsol-relaxed geometry.

Structure (extended XYZ):
```
5
Lattice="-1.947 1.947 5.701 1.947 -1.947 5.701 1.947 1.947 -5.701" Properties=species:S:1:pos:R:3 pbc="T T T"
Hf 0.000 0.000 0.000
Ga 0.000 0.000 4.544
Ga 0.000 0.000 6.857
Ag 1.947 0.000 2.850
Ag 0.000 1.947 2.850
```

Values from the calculation:
* ΔH_f (0 K): -0.53 eV per formula unit

=====

The following is a DFT calculation (SCAN) of Ga2AgHg2 at its PBEsol-relaxed geometry.

Structure (extended XYZ):
```
10
Lattice="6.830 0.000 0.000 0.000 6.830 0.000 0.000 0.000 4.247" Properties=species:S:1:pos:R:3 pbc="T T T"
Ga 0.915 2.500 0.000
Ga 2.500 5.915 0.000
Ga 4.331 0.915 0.000
Ga 5.915 4.331 0.000
Ag 0.000 0.000 0.000
Ag 3.415 3.415 0.000
Hg 1.231 4.646 2.123
Hg 2.184 1.231 2.123
Hg 4.646 5.599 2.123
Hg 5.599 2.184 2.123
```

Values from the calculation:
* ΔH_f (0 K): 0.65 eV per formula unit

=====

The following is a DFT calculation (SCAN) of Ga2AgHgMo at its PBEsol-relaxed geometry.

Structure (extended XYZ):
```
5
Lattice="4.866 0.000 0.000 0.000 4.866 0.000 0.000 0.000 5.380" Properties=species:S:1:pos:R:3 pbc="T T T"
Ga 0.000 2.433 0.000
Ga 2.433 0.000 0.000
Ag 0.000 0.000 2.690
Hg 2.433 2.433 0.000
Mo 2.433 2.433 2.690
```

Values from the calculation:
* ΔH_f (0 K): 6.25 eV per formula unit

=====

The following is a DFT calculation (SCAN) of Ga2AgHgRu at its PBEsol-relaxed geometry.

Structure (extended XYZ):
```
5
Lattice="4.663 0.000 0.000 0.000 4.663 0.000 0.000 0.000 5.114" Properties=species:S:1:pos:R:3 pbc="T T T"
Ga 0.000 2.332 0.000
Ga 2.332 0.000 0.000
Ag 0.000 0.000 0.000
Hg 2.332 2.332 2.557
Ru 0.000 0.000 2.557
```

Values from the calculation:
* ΔH_f (0 K): 4.79 eV per formula unit